(1)
{"formula": "BeCd3As", "functional": "GGA-PBE", "state": "optimized geometry", "e_above_lowest_polymorph_ev_per_atom": 0.335, "space_group": "Pm-3m, No. 221", "ef_kj_per_mol_fu": 388, "lattice_angstrom": [[5.3025, 0.0000, 0.0000], [0.0000, 5.3025, 0.0000], [0.0000, 0.0000, 5.3025]], "species": ["Be", "Cd", "Cd", "Cd", "As"], "frac_coords": [[0.0000, 0.0000, 0.0000], [0.0000, 0.5000, 0.5000], [0.5000, 0.0000, 0.5000], [0.5000, 0.5000, 0.0000], [0.5000, 0.5000, 0.5000]]}


(2)
{"formula": "RbAl2CdF8", "functional": "GGA-PBE", "state": "optimized geometry", "e_form_raw_mev_per_atom": -2962, "space_group": "R-3, No. 148", "lattice_angstrom": [[2.8494, 1.6451, 7.6905], [-2.8494, 1.6451, 7.6905], [0.0000, -3.2902, 7.6905]], "species": ["Rb", "Al", "Al", "Cd", "F", "F", "F", "F", "F", "F", "F", "F"], "frac_coords": [[0.0000, 0.0000, 0.0000], [0.2516, 0.2516, 0.2516], [0.7484, 0.7484, 0.7484], [0.5000, 0.5000, 0.5000], [0.0376, 0.8045, 0.4696], [0.1955, 0.5304, 0.9624], [0.3253, 0.3253, 0.3253], [0.4696, 0.0376, 0.8045], [0.5304, 0.9624, 0.1955], [0.6747, 0.6747, 0.6747], [0.8045, 0.4696, 0.0376], [0.9624, 0.1955, 0.5304]]}


(3)
{"formula": "CsK2Te", "functional": "GGA-PBE", "state": "optimized geometry", "e_form_raw_mev_per_atom": -642, "space_group": "R-3m, No. 166", "lattice_angstrom": [[2.7888, 1.6101, 9.8946], [-2.7888, 1.6101, 9.8946], [0.0000, -3.2202, 9.8946]], "species": ["Cs", "K", "K", "Te"], "frac_coords": [[0.0000, 0.0000, 0.0000], [0.2090, 0.2090, 0.2090], [0.7910, 0.7910, 0.7910], [0.5000, 0.5000, 0.5000]]}


(4)
{"formula": "CuPb2", "functional": "GGA-PBE", "state": "optimized geometry", "space_group": "I4/mmm, No. 139", "ef_kj_per_mol_fu": 47, "lattice_angstrom": [[-1.6923, 1.6923, 6.5381], [1.6923, -1.6923, 6.5381], [1.6923, 1.6923, -6.5381]], "species": ["Cu", "Pb", "Pb"], "frac_coords": [[0.0000, 0.0000, 0.0000], [0.3639, 0.3639, 0.0000], [0.6361, 0.6361, 0.0000]]}


(5)
{"formula": "PmB2Pd2C", "functional": "GGA-PBE", "state": "optimized geometry", "space_group": "I4/mmm, No. 139", "ef_kj_per_mol_fu": -289, "lattice_angstrom": [[-1.9344, 1.9344, 5.2918], [1.9344, -1.9344, 5.2918], [1.9344, 1.9344, -5.2918]], "species": ["Pm", "B", "B", "Pd", "Pd", "C"], "frac_coords": [[0.0000, 0.0000, 0.0000], [0.3601, 0.3601, 0.0000], [0.6399, 0.6399, 0.0000], [0.2500, 0.7500, 0.5000], [0.7500, 0.2500, 0.5000], [0.5000, 0.5000, 0.0000]]}


(6)
{"formula": "NaPmCuCl5", "functional": "GGA-PBE", "state": "optimized geometry", "e_form_raw_mev_per_atom": -1661, "space_group": "C2/c, No. 15", "lattice_angstrom": [[4.2066, -5.8581, 0.0000], [4.2066, 5.8581, 0.0000], [-3.9214, 0.0000, 9.1245]], "species": ["Na", "Na", "Pm", "Pm", "Cu", "Cu", "Cl", "Cl", "Cl", "Cl", "Cl", "Cl", "Cl", "Cl", "Cl", "Cl"], "frac_coords": [[0.1285, 0.8715, 0.7500], [0.8715, 0.1285, 0.2500], [0.5000, 0.5000, 0.0000], [0.5000, 0.5000, 0.5000], [0.1894, 0.8106, 0.2500], [0.8106, 0.1894, 0.7500], [0.1023, 0.2305, 0.9353], [0.1605, 0.5472, 0.3520], [0.2305, 0.1023, 0.4353], [0.3957, 0.6043, 0.7500], [0.4528, 0.8395, 0.1480], [0.5472, 0.1605, 0.8520], [0.6043, 0.3957, 0.2500], [0.7695, 0.8977, 0.5647], [0.8395, 0.4528, 0.6480], [0.8977, 0.7695, 0.0647]]}


(7)
{"formula": "Pm2ScHg4", "functional": "GGA-PBE", "state": "optimized geometry", "e_above_lowest_polymorph_ev_per_atom": 0.000, "space_group": "R-3m, No. 166", "ef_kj_per_mol_fu": -228, "lattice_angstrom": [[2.4395, 1.4084, 9.5106], [-2.4395, 1.4084, 9.5106], [0.0000, -2.8169, 9.5106]], "species": ["Pm", "Pm", "Sc", "Hg", "Hg", "Hg", "Hg"], "frac_coords": [[0.2467, 0.2467, 0.2467], [0.7533, 0.7533, 0.7533], [0.0000, 0.0000, 0.0000], [0.1358, 0.1358, 0.1358], [0.3650, 0.3650, 0.3650], [0.6350, 0.6350, 0.6350], [0.8642, 0.8642, 0.8642]]}


(8)
{"formula": "Pa2Ni9Rh", "functional": "GGA-PBE", "state": "optimized geometry", "e_above_lowest_polymorph_ev_per_atom": 0.032, "space_group": "Cmmm, No. 65", "ef_kj_per_mol_fu": -233, "lattice_angstrom": [[2.6254, -3.4473, 0.0000], [2.6254, 3.4473, 0.0000], [0.0000, 0.0000, 9.0775]], "species": ["Pa", "Pa", "Ni", "Ni", "Ni", "Ni", "Ni", "Ni", "Ni", "Ni", "Ni", "Rh"], "frac_coords": [[0.0000, 0.0000, 0.1900], [0.0000, 0.0000, 0.8100], [0.0000, 0.5000, 0.0000], [0.0000, 0.5000, 0.3515], [0.0000, 0.5000, 0.6485], [0.5000, 0.0000, 0.0000], [0.5000, 0.0000, 0.3515], [0.5000, 0.0000, 0.6485], [0.5000, 0.5000, 0.1661], [0.5000, 0.5000, 0.5000], [0.5000, 0.5000, 0.8339], [0.0000, 0.0000, 0.5000]]}


(9)
{"formula": "Ti3VS4", "functional": "GGA-PBE", "state": "optimized geometry", "e_above_lowest_polymorph_ev_per_atom": 0.000, "e_form_raw_mev_per_atom": -1287, "space_group": "P2/m, No. 10", "lattice_angstrom": [[5.6033, 0.0000, 0.0000], [0.0000, 3.2441, 0.0000], [-0.0016, 0.0000, 6.3647]], "species": ["Ti", "Ti", "Ti", "V", "S", "S", "S", "S"], "frac_coords": [[0.0000, 0.0000, 0.0000], [0.0000, 0.0000, 0.5000], [0.5000, 0.5000, 0.0000], [0.5000, 0.5000, 0.5000], [0.1696, 0.5000, 0.2525], [0.3369, 0.0000, 0.7459], [0.6631, 0.0000, 0.2541], [0.8304, 0.5000, 0.7475]]}


(10)
{"formula": "TlFe2Os", "functional": "GGA-PBE", "state": "optimized geometry", "e_above_lowest_polymorph_ev_per_atom": 0.176, "space_group": "Cmm2, No. 35", "ef_kj_per_mol_fu": 268, "lattice_angstrom": [[1.4972, -2.3747, 0.0000], [1.4972, 2.3747, 0.0000], [0.0000, 0.0000, 8.9168]], "species": ["Tl", "Fe", "Fe", "Os"], "frac_coords": [[0.0000, 0.0000, 0.0000], [0.0000, 0.0000, 0.5150], [0.5000, 0.5000, 0.7258], [0.5000, 0.5000, 0.2887]]}


(11)
{"formula": "Tm2CuAg", "functional": "GGA-PBE", "state": "optimized geometry", "e_above_lowest_polymorph_ev_per_atom": 0.018, "space_group": "Fm-3m, No. 225", "ef_kj_per_mol_fu": -113, "lattice_angstrom": [[0.0000, 3.5133, 3.5133], [3.5133, 0.0000, 3.5133], [3.5133, 3.5133, 0.0000]], "species": ["Tm", "Tm", "Cu", "Ag"], "frac_coords": [[0.2500, 0.2500, 0.2500], [0.7500, 0.7500, 0.7500], [0.0000, 0.0000, 0.0000], [0.5000, 0.5000, 0.5000]]}


(12)
{"formula": "Y3NbAg", "functional": "GGA-PBE", "state": "optimized geometry", "e_above_lowest_polymorph_ev_per_atom": 0.000, "space_group": "Pm-3m, No. 221", "ef_kj_per_mol_fu": 287, "lattice_angstrom": [[5.4021, 0.0000, 0.0000], [0.0000, 5.4021, 0.0000], [0.0000, 0.0000, 5.4021]], "species": ["Y", "Y", "Y", "Nb", "Ag"], "frac_coords": [[0.0000, 0.0000, 0.5000], [0.0000, 0.5000, 0.0000], [0.5000, 0.0000, 0.0000], [0.0000, 0.0000, 0.0000], [0.5000, 0.5000, 0.5000]]}


(13)
{"formula": "Cs4Tm3NpTe8", "functional": "GGA-PBE", "state": "optimized geometry", "e_form_raw_mev_per_atom": -1233, "space_group": "C2/m, No. 12", "lattice_angstrom": [[7.8846, -4.5429, 0.0000], [7.8846, 4.5429, 0.0000], [-5.2725, 0.0000, 8.9110]], "species": ["Cs", "Cs", "Cs", "Cs", "Tm", "Tm", "Tm", "Np", "Te", "Te", "Te", "Te", "Te", "Te", "Te", "Te"], "frac_coords": [[0.0000, 0.0000, 0.0000], [0.0000, 0.5000, 0.0000], [0.5000, 0.0000, 0.0000], [0.5000, 0.5000, 0.0000], [0.0000, 0.0000, 0.5000], [0.0000, 0.5000, 0.5000], [0.5000, 0.0000, 0.5000], [0.5000, 0.5000, 0.5000], [0.2227, 0.7327, 0.6889], [0.2289, 0.2289, 0.6868], [0.2671, 0.2671, 0.3117], [0.2673, 0.7773, 0.3111], [0.7327, 0.2227, 0.6889], [0.7329, 0.7329, 0.6883], [0.7711, 0.7711, 0.3132], [0.7773, 0.2673, 0.3111]]}


(14)
{"formula": "Pr4OsSBr2", "functional": "GGA-PBE", "state": "optimized geometry", "e_form_raw_mev_per_atom": -1147, "space_group": "P2/m, No. 10", "lattice_angstrom": [[7.4728, 0.0000, 0.0000], [0.0000, 4.1066, 0.0000], [-2.2899, 0.0000, 7.5903]], "species": ["Pr", "Pr", "Pr", "Pr", "Os", "S", "Br", "Br"], "frac_coords": [[0.2193, 0.0000, 0.2004], [0.2608, 0.5000, 0.8009], [0.7392, 0.5000, 0.1991], [0.7807, 0.0000, 0.7996], [0.0000, 0.5000, 0.0000], [0.5000, 0.0000, 0.0000], [0.0000, 0.0000, 0.5000], [0.5000, 0.5000, 0.5000]]}


(15)
{"formula": "Ho12SnPd5", "functional": "GGA-PBE", "state": "optimized geometry", "space_group": "Immm, No. 71", "ef_kj_per_mol_fu": -1084, "lattice_angstrom": [[-4.7207, 4.8140, 5.1212], [4.7207, -4.8140, 5.1212], [4.7207, 4.8140, -5.1212]], "species": ["Ho", "Ho", "Ho", "Ho", "Ho", "Ho", "Ho", "Ho", "Ho", "Ho", "Ho", "Ho", "Sn", "Pd", "Pd", "Pd", "Pd", "Pd"], "frac_coords": [[0.0351, 0.2260, 0.8091], [0.1806, 0.2863, 0.4669], [0.1806, 0.7137, 0.8942], [0.3256, 0.0263, 0.7007], [0.3256, 0.6249, 0.2993], [0.4169, 0.2260, 0.1909], [0.5831, 0.7740, 0.8091], [0.6744, 0.3751, 0.7007], [0.6744, 0.9737, 0.2993], [0.8194, 0.2863, 0.1058], [0.8194, 0.7137, 0.5331], [0.9649, 0.7740, 0.1909], [0.5000, 0.5000, 0.0000], [0.0000, 0.0000, 0.0000], [0.1336, 0.6336, 0.5000], [0.3488, 0.0000, 0.3488], [0.6512, 0.0000, 0.6512], [0.8664, 0.3664, 0.5000]]}


(16)
{"formula": "Tb4BO7", "functional": "GGA-PBE", "state": "optimized geometry", "e_form_raw_mev_per_atom": -2983, "space_group": "C2/m, No. 12", "lattice_angstrom": [[6.1611, -2.0546, 0.0000], [6.1611, 2.0546, 0.0000], [-5.3717, 0.0000, 6.1437]], "species": ["Tb", "Tb", "Tb", "Tb", "B", "O", "O", "O", "O", "O", "O", "O"], "frac_coords": [[0.0956, 0.0956, 0.2880], [0.2246, 0.2246, 0.8241], [0.7754, 0.7754, 0.1759], [0.9044, 0.9044, 0.7120], [0.5000, 0.5000, 0.5000], [0.0000, 0.0000, 0.5000], [0.1423, 0.1423, 0.0346], [0.3082, 0.3082, 0.6562], [0.4400, 0.4400, 0.2886], [0.5600, 0.5600, 0.7114], [0.6918, 0.6918, 0.3438], [0.8577, 0.8577, 0.9654]]}


(17)
{"formula": "Tb6CuRu2", "functional": "GGA-PBE", "state": "optimized geometry", "space_group": "Immm, No. 71", "ef_kj_per_mol_fu": -223, "lattice_angstrom": [[-4.6976, 4.6988, 5.1295], [4.6976, -4.6988, 5.1295], [4.6976, 4.6988, -5.1295]], "species": ["Tb", "Tb", "Tb", "Tb", "Tb", "Tb", "Tb", "Tb", "Tb", "Tb", "Tb", "Tb", "Cu", "Cu", "Ru", "Ru", "Ru", "Ru"], "frac_coords": [[0.0140, 0.8294, 0.1847], [0.2454, 0.5537, 0.3082], [0.2454, 0.9372, 0.6918], [0.2756, 0.3217, 0.5973], [0.2756, 0.6783, 0.9540], [0.3553, 0.1706, 0.1847], [0.6447, 0.8294, 0.8153], [0.7244, 0.3217, 0.0460], [0.7244, 0.6783, 0.4027], [0.7546, 0.0628, 0.3082], [0.7546, 0.4463, 0.6918], [0.9860, 0.1706, 0.8153], [0.0000, 0.5000, 0.5000], [0.5000, 0.0000, 0.5000], [0.0000, 0.1842, 0.1842], [0.0000, 0.8158, 0.8158], [0.3738, 0.3738, 0.0000], [0.6262, 0.6262, 0.0000]]}


(18)
{"formula": "BaAs2Ru", "functional": "GGA-PBE", "state": "optimized geometry", "space_group": "Pmmm, No. 47", "ef_kj_per_mol_fu": -105, "lattice_angstrom": [[3.3874, 0.0000, 0.0000], [0.0000, 4.2036, 0.0000], [0.0000, 0.0000, 6.5884]], "species": ["Ba", "As", "As", "Ru"], "frac_coords": [[0.0000, 0.0000, 0.0000], [0.5000, 0.5000, 0.3010], [0.5000, 0.5000, 0.6990], [0.5000, 0.0000, 0.5000]]}


(19)
{"formula": "AcZrSe2", "functional": "GGA-PBE", "state": "optimized geometry", "e_form_raw_mev_per_atom": -1412, "space_group": "R-3m, No. 166", "lattice_angstrom": [[2.0826, 1.2024, 6.7858], [-2.0826, 1.2024, 6.7858], [0.0000, -2.4048, 6.7858]], "species": ["Ac", "Zr", "Se", "Se"], "frac_coords": [[0.0000, 0.0000, 0.0000], [0.5000, 0.5000, 0.5000], [0.2374, 0.2374, 0.2374], [0.7626, 0.7626, 0.7626]]}


(20)
{"formula": "Tb3Nd4Sm4", "functional": "GGA-PBE", "state": "optimized geometry", "e_above_lowest_polymorph_ev_per_atom": 0.000, "space_group": "Immm, No. 71", "ef_kj_per_mol_fu": 133, "lattice_angstrom": [[-1.8261, 4.7806, 10.9529], [1.8261, -4.7806, 10.9529], [1.8261, 4.7806, -10.9529]], "species": ["Tb", "Tb", "Tb", "Nd", "Nd", "Nd", "Nd", "Sm", "Sm", "Sm", "Sm"], "frac_coords": [[0.0000, 0.0000, 0.0000], [0.3931, 0.8931, 0.5000], [0.6069, 0.1069, 0.5000], [0.0320, 0.3560, 0.6759], [0.3199, 0.6440, 0.6759], [0.6801, 0.3560, 0.3241], [0.9680, 0.6440, 0.3241], [0.2610, 0.2610, 0.0000], [0.3152, 0.5000, 0.8152], [0.6848, 0.5000, 0.1848], [0.7390, 0.7390, 0.0000]]}


| no. | D(E_F) (states/eV per cell) | electronic total energy (eV for the cell shown) |
| --- | --- | --- |
| 1 | 2.032 | -7.10 |
| 2 | 2.872 | -59.88 |
| 3 | 1.435 | -8.76 |
| 4 | 1.131 | -11.03 |
| 5 | 2.482 | -40.71 |
| 6 | 0.000 | -65.38 |
| 7 | 5.228 | -19.40 |
| 8 | 7.647 | -80.79 |
| 9 | 5.049 | -59.61 |
| 10 | 3.788 | -27.75 |
| 11 | 2.362 | -17.06 |
| 12 | 5.197 | -29.34 |
| 13 | 6.193 | -74.62 |
| 14 | 6.386 | -47.00 |
| 15 | 16.600 | -96.14 |
| 16 | 2.405 | -95.70 |
| 17 | 14.700 | -105.48 |
| 18 | 2.833 | -21.59 |
| 19 | 2.242 | -25.28 |
| 20 | 17.034 | -50.46 |